No. 1
Density functional theory data (PBE) for a relaxed La5Ti2O12 crystal.

Summary:
raw formation energy: -3.2771 eV/atom
D(E_F): 0.926 states/eV per atom
theoretical density: 5.60 g/cm³
VASP energy: -8.536 eV/atom
SG: C2/m (12)

Unit cell a=7.136 b=7.136 c=7.762 alpha=105.57 beta=105.57 gamma=50.54
Atoms (fractional coordinates):
La (0.000, 0.000, 0.000)
La (0.306, 0.306, 0.662)
La (0.310, 0.310, 0.146)
La (0.690, 0.690, 0.854)
La (0.694, 0.694, 0.338)
Ti (0.238, 0.762, 0.500)
Ti (0.762, 0.238, 0.500)
O (0.001, 0.001, 0.671)
O (0.093, 0.597, 0.922)
O (0.105, 0.579, 0.421)
O (0.403, 0.907, 0.078)
O (0.421, 0.895, 0.579)
O (0.498, 0.498, 0.671)
O (0.502, 0.502, 0.329)
O (0.579, 0.105, 0.421)
O (0.597, 0.093, 0.922)
O (0.895, 0.421, 0.579)
O (0.907, 0.403, 0.078)
O (0.999, 0.999, 0.329)

No. 2
Density functional theory data (PBE) for a relaxed LiCd3Hg7 crystal.

Summary:
D(E_F): 0.283 states/eV per atom
energy relative to the lowest polymorph listed for this composition: 0.000 eV per atom
theoretical density: 10.38 g/cm³
VASP energy: -0.655 eV/atom
calculated formation energy: -0.4 eV per formula unit
SG: Cm (8)

Unit cell a=7.217 b=7.217 c=6.016 alpha=108.75 beta=108.75 gamma=79.08
Atoms (fractional coordinates):
Li (0.000, 0.000, 0.000)
Cd (0.186, 0.847, 0.529)
Cd (0.535, 0.535, 0.613)
Cd (0.847, 0.186, 0.529)
Hg (0.246, 0.246, 0.441)
Hg (0.252, 0.252, 0.960)
Hg (0.343, 0.699, 0.071)
Hg (0.604, 0.952, 0.633)
Hg (0.699, 0.343, 0.071)
Hg (0.781, 0.781, 0.134)
Hg (0.952, 0.604, 0.633)

No. 3
Density functional theory data (PBE) for a relaxed Sn5Sb4Pb crystal.

Summary:
raw formation energy: 0.0428 eV/atom
D(E_F): 0.629 states/eV per atom
energy relative to the lowest polymorph listed for this composition: 0.000 eV per atom
theoretical density: 7.13 g/cm³
VASP energy: -3.978 eV/atom
SG: I4/mmm (139)

Unit cell a=15.794 b=15.794 c=15.794 alpha=163.98 beta=163.98 gamma=22.74
Atoms (fractional coordinates):
Sn (0.000, 0.000, 0.000)
Sn (0.200, 0.200, 0.000)
Sn (0.397, 0.397, 0.000)
Sn (0.603, 0.603, 0.000)
Sn (0.800, 0.800, 0.000)
Sb (0.100, 0.100, 0.000)
Sb (0.300, 0.300, 0.000)
Sb (0.700, 0.700, 0.000)
Sb (0.900, 0.900, 0.000)
Pb (0.500, 0.500, 0.000)

- The lowest VASP energy belongs to which entry?
  La5Ti2O12